Version A
## TaCdPO (PBE)

Data for a relaxed TaCdPO crystal.

Structure (CIF):
```
data_TaCdPO
_symmetry_space_group_name_H-M 'P 4/n m m'
_symmetry_Int_Tables_number 129
_cell_length_a 4.1565
_cell_length_b 4.1565
_cell_length_c 8.1013
_cell_angle_alpha 90.00
_cell_angle_beta 90.00
_cell_angle_gamma 90.00
loop_
_symmetry_equiv_pos_as_xyz
'x,y,z'
'-x,-y,-z'
'-y+1/2,x,z'
'y+1/2,-x,-z'
'-x+1/2,-y+1/2,z'
'x+1/2,y+1/2,-z'
'y,-x+1/2,z'
'-y,x+1/2,-z'
'x+1/2,-y,-z'
'-x+1/2,y,z'
'-y,-x,-z'
'y,x,z'
'-x,y+1/2,-z'
'x,-y+1/2,z'
'y+1/2,x+1/2,-z'
'-y+1/2,-x+1/2,z'
loop_
_atom_site_label
_atom_site_fract_x
_atom_site_fract_y
_atom_site_fract_z
Ta1 0.2500 0.7500 0.0000
Cd1 0.2500 0.2500 0.4003
P1 0.2500 0.2500 0.8310
O1 0.2500 0.7500 0.5000
```

Version B
## TaCdPO (PBE)

Data for a relaxed TaCdPO crystal.

Structure (CIF):
```
data_TaCdPO
_symmetry_space_group_name_H-M 'P m c 21'
_symmetry_Int_Tables_number 26
_symmetry_space_group_name_Hall 'P 2c -2'
_cell_length_a 3.8368
_cell_length_b 8.1518
_cell_length_c 4.9663
_cell_angle_alpha 90.00
_cell_angle_beta 90.00
_cell_angle_gamma 90.00
loop_
_atom_site_label
_atom_site_fract_x
_atom_site_fract_y
_atom_site_fract_z
Ta1 0.0000 0.1204 0.0000
Cd1 0.5000 0.4046 0.5528
P1 0.0000 0.1787 0.4976
O1 0.5000 0.1611 0.0004
```

Version C
## TaCdPO (PBE)

Data for a relaxed TaCdPO crystal.

Structure (CIF):
```
data_TaCdPO
_symmetry_space_group_name_H-M 'P 4/n m m'
_symmetry_Int_Tables_number 129
_cell_length_a 3.5136
_cell_length_b 3.5136
_cell_length_c 10.4575
_cell_angle_alpha 90.00
_cell_angle_beta 90.00
_cell_angle_gamma 90.00
loop_
_symmetry_equiv_pos_as_xyz
'x,y,z'
'-x,-y,-z'
'-y+1/2,x,z'
'y+1/2,-x,-z'
'-x+1/2,-y+1/2,z'
'x+1/2,y+1/2,-z'
'y,-x+1/2,z'
'-y,x+1/2,-z'
'x+1/2,-y,-z'
'-x+1/2,y,z'
'-y,-x,-z'
'y,x,z'
'-x,y+1/2,-z'
'x,-y+1/2,z'
'y+1/2,x+1/2,-z'
'-y+1/2,-x+1/2,z'
loop_
_atom_site_label
_atom_site_fract_x
_atom_site_fract_y
_atom_site_fract_z
Ta1 0.2500 0.2500 0.1250
Cd1 0.2500 0.7500 0.5000
P1 0.2500 0.2500 0.7656
O1 0.2500 0.7500 0.0000
```

Which of them is the most stable? Correct choice: version B.

Version A
## CdTePO (PBE)

Data for a relaxed CdTePO crystal.

Structure (CIF):
```
data_CdTePO
_symmetry_space_group_name_H-M 'P 4/n m m'
_symmetry_Int_Tables_number 129
_cell_length_a 4.0860
_cell_length_b 4.0860
_cell_length_c 8.8590
_cell_angle_alpha 90.00
_cell_angle_beta 90.00
_cell_angle_gamma 90.00
loop_
_symmetry_equiv_pos_as_xyz
'x,y,z'
'-x,-y,-z'
'-y+1/2,x,z'
'y+1/2,-x,-z'
'-x+1/2,-y+1/2,z'
'x+1/2,y+1/2,-z'
'y,-x+1/2,z'
'-y,x+1/2,-z'
'x+1/2,-y,-z'
'-x+1/2,y,z'
'-y,-x,-z'
'y,x,z'
'-x,y+1/2,-z'
'x,-y+1/2,z'
'y+1/2,x+1/2,-z'
'-y+1/2,-x+1/2,z'
loop_
_atom_site_label
_atom_site_fract_x
_atom_site_fract_y
_atom_site_fract_z
Cd1 0.2500 0.7500 0.0000
Te1 0.2500 0.2500 0.3724
P1 0.2500 0.2500 0.7980
O1 0.2500 0.7500 0.5000
```

Version B
## CdTePO (PBE)

Data for a relaxed CdTePO crystal.

Structure (CIF):
```
data_CdTePO
_symmetry_space_group_name_H-M 'P m c 21'
_symmetry_Int_Tables_number 26
_symmetry_space_group_name_Hall 'P 2c -2'
_cell_length_a 4.4760
_cell_length_b 6.5983
_cell_length_c 5.6700
_cell_angle_alpha 90.00
_cell_angle_beta 90.00
_cell_angle_gamma 90.00
loop_
_atom_site_label
_atom_site_fract_x
_atom_site_fract_y
_atom_site_fract_z
Cd1 0.0000 0.1551 0.0000
Te1 0.5000 0.2541 0.4537
P1 0.5000 0.3110 0.8820
O1 0.0000 0.1891 0.4124
```

Which of them is the most stable? Correct choice: version B.

Version A
## CdTePO (PBE)

Data for a relaxed CdTePO crystal.

Structure (CIF):
```
data_CdTePO
_symmetry_space_group_name_H-M 'P 4/n m m'
_symmetry_Int_Tables_number 129
_cell_length_a 4.8043
_cell_length_b 4.8043
_cell_length_c 7.7333
_cell_angle_alpha 90.00
_cell_angle_beta 90.00
_cell_angle_gamma 90.00
loop_
_symmetry_equiv_pos_as_xyz
'x,y,z'
'-x,-y,-z'
'-y+1/2,x,z'
'y+1/2,-x,-z'
'-x+1/2,-y+1/2,z'
'x+1/2,y+1/2,-z'
'y,-x+1/2,z'
'-y,x+1/2,-z'
'x+1/2,-y,-z'
'-x+1/2,y,z'
'-y,-x,-z'
'y,x,z'
'-x,y+1/2,-z'
'x,-y+1/2,z'
'y+1/2,x+1/2,-z'
'-y+1/2,-x+1/2,z'
loop_
_atom_site_label
_atom_site_fract_x
_atom_site_fract_y
_atom_site_fract_z
Cd1 0.2500 0.2500 0.0121
Te1 0.2500 0.7500 0.5000
P1 0.2500 0.2500 0.3713
O1 0.2500 0.7500 0.0000
```

Version B
## CdTePO (PBE)

Data for a relaxed CdTePO crystal.

Structure (CIF):
```
data_CdTePO
_symmetry_space_group_name_H-M 'P m c 21'
_symmetry_Int_Tables_number 26
_symmetry_space_group_name_Hall 'P 2c -2'
_cell_length_a 3.5167
_cell_length_b 7.2633
_cell_length_c 6.6732
_cell_angle_alpha 90.00
_cell_angle_beta 90.00
_cell_angle_gamma 90.00
loop_
_atom_site_label
_atom_site_fract_x
_atom_site_fract_y
_atom_site_fract_z
Cd1 0.0000 0.1292 0.0000
Te1 0.5000 0.3988 0.5794
P1 0.0000 0.2086 0.3798
O1 0.5000 0.2553 0.8325
```

Which of them is the most stable? Correct choice: version B.

Version A
## ZnCdPO (PBE)

Data for a relaxed ZnCdPO crystal.

Structure (CIF):
```
data_ZnCdPO
_symmetry_space_group_name_H-M 'P 4/n m m'
_symmetry_Int_Tables_number 129
_cell_length_a 4.0581
_cell_length_b 4.0581
_cell_length_c 9.1109
_cell_angle_alpha 90.00
_cell_angle_beta 90.00
_cell_angle_gamma 90.00
loop_
_symmetry_equiv_pos_as_xyz
'x,y,z'
'-x,-y,-z'
'-y+1/2,x,z'
'y+1/2,-x,-z'
'-x+1/2,-y+1/2,z'
'x+1/2,y+1/2,-z'
'y,-x+1/2,z'
'-y,x+1/2,-z'
'x+1/2,-y,-z'
'-x+1/2,y,z'
'-y,-x,-z'
'y,x,z'
'-x,y+1/2,-z'
'x,-y+1/2,z'
'y+1/2,x+1/2,-z'
'-y+1/2,-x+1/2,z'
loop_
_atom_site_label
_atom_site_fract_x
_atom_site_fract_y
_atom_site_fract_z
Zn1 0.2500 0.2500 0.0493
Cd1 0.2500 0.7500 0.5000
P1 0.2500 0.2500 0.3185
O1 0.2500 0.7500 0.0000
```

Version B
## ZnCdPO (PBE)

Data for a relaxed ZnCdPO crystal.

Structure (CIF):
```
data_ZnCdPO
_symmetry_space_group_name_H-M 'P 4/n m m'
_symmetry_Int_Tables_number 129
_cell_length_a 4.0814
_cell_length_b 4.0814
_cell_length_c 8.2664
_cell_angle_alpha 90.00
_cell_angle_beta 90.00
_cell_angle_gamma 90.00
loop_
_symmetry_equiv_pos_as_xyz
'x,y,z'
'-x,-y,-z'
'-y+1/2,x,z'
'y+1/2,-x,-z'
'-x+1/2,-y+1/2,z'
'x+1/2,y+1/2,-z'
'y,-x+1/2,z'
'-y,x+1/2,-z'
'x+1/2,-y,-z'
'-x+1/2,y,z'
'-y,-x,-z'
'y,x,z'
'-x,y+1/2,-z'
'x,-y+1/2,z'
'y+1/2,x+1/2,-z'
'-y+1/2,-x+1/2,z'
loop_
_atom_site_label
_atom_site_fract_x
_atom_site_fract_y
_atom_site_fract_z
Zn1 0.2500 0.7500 0.0000
Cd1 0.2500 0.2500 0.3978
P1 0.2500 0.2500 0.8367
O1 0.2500 0.7500 0.5000
```

Version C
## ZnCdPO (PBE)

Data for a relaxed ZnCdPO crystal.

Structure (CIF):
```
data_ZnCdPO
_symmetry_space_group_name_H-M 'P m c 21'
_symmetry_Int_Tables_number 26
_symmetry_space_group_name_Hall 'P 2c -2'
_cell_length_a 3.0604
_cell_length_b 6.8797
_cell_length_c 6.5205
_cell_angle_alpha 90.00
_cell_angle_beta 90.00
_cell_angle_gamma 90.00
loop_
_atom_site_label
_atom_site_fract_x
_atom_site_fract_y
_atom_site_fract_z
Zn1 0.0000 0.1838 0.0000
Cd1 0.5000 0.3680 0.5713
P1 0.0000 0.1324 0.3586
O1 0.5000 0.3475 0.9088
```

Which of them is the most stable? Correct choice: version C.

Version A
## CdPbSO (PBE)

Data for a relaxed CdPbSO crystal.

Structure (CIF):
```
data_CdPbSO
_symmetry_space_group_name_H-M 'P 63 m c'
_symmetry_Int_Tables_number 186
_symmetry_space_group_name_Hall 'P 6c -2c'
_cell_length_a 3.9699
_cell_length_b 3.9699
_cell_length_c 12.7951
_cell_angle_alpha 90.00
_cell_angle_beta 90.00
_cell_angle_gamma 120.00
loop_
_atom_site_label
_atom_site_fract_x
_atom_site_fract_y
_atom_site_fract_z
Cd1 0.0000 0.0000 0.0000
Pb1 0.3333 0.6667 0.2621
S1 0.3333 0.6667 0.5864
O1 0.0000 0.0000 0.3295
```

Version B
## CdPbSO (PBE)

Data for a relaxed CdPbSO crystal.

Structure (CIF):
```
data_CdPbSO
_symmetry_space_group_name_H-M 'C m c m'
_symmetry_Int_Tables_number 63
_symmetry_space_group_name_Hall '-C 2c 2'
_cell_length_a 3.9475
_cell_length_b 12.9956
_cell_length_c 6.2011
_cell_angle_alpha 90.00
_cell_angle_beta 90.00
_cell_angle_gamma 90.00
loop_
_atom_site_label
_atom_site_fract_x
_atom_site_fract_y
_atom_site_fract_z
Cd1 0.0000 0.1253 0.2500
Pb1 0.0000 0.4096 0.2500
S1 0.0000 0.2609 0.7500
O1 0.0000 0.0000 0.0000
```

Which of them is the most stable? Correct choice: version A.

Version A
## CdPbSO (PBE)

Data for a relaxed CdPbSO crystal.

Structure (CIF):
```
data_CdPbSO
_symmetry_space_group_name_H-M 'P 4/n m m'
_symmetry_Int_Tables_number 129
_cell_length_a 4.2825
_cell_length_b 4.2825
_cell_length_c 8.9614
_cell_angle_alpha 90.00
_cell_angle_beta 90.00
_cell_angle_gamma 90.00
loop_
_symmetry_equiv_pos_as_xyz
'x,y,z'
'-x,-y,-z'
'-y+1/2,x,z'
'y+1/2,-x,-z'
'-x+1/2,-y+1/2,z'
'x+1/2,y+1/2,-z'
'y,-x+1/2,z'
'-y,x+1/2,-z'
'x+1/2,-y,-z'
'-x+1/2,y,z'
'-y,-x,-z'
'y,x,z'
'-x,y+1/2,-z'
'x,-y+1/2,z'
'y+1/2,x+1/2,-z'
'-y+1/2,-x+1/2,z'
loop_
_atom_site_label
_atom_site_fract_x
_atom_site_fract_y
_atom_site_fract_z
Cd1 0.2500 0.2500 0.0751
Pb1 0.2500 0.2500 0.6770
S1 0.2500 0.2500 0.3693
O1 0.2500 0.7500 0.0000
```

Version B
## CdPbSO (PBE)

Data for a relaxed CdPbSO crystal.

Structure (CIF):
```
data_CdPbSO
_symmetry_space_group_name_H-M 'P 63 m c'
_symmetry_Int_Tables_number 186
_symmetry_space_group_name_Hall 'P 6c -2c'
_cell_length_a 3.7765
_cell_length_b 3.7765
_cell_length_c 13.5559
_cell_angle_alpha 90.00
_cell_angle_beta 90.00
_cell_angle_gamma 120.00
loop_
_atom_site_label
_atom_site_fract_x
_atom_site_fract_y
_atom_site_fract_z
Cd1 0.3333 0.6667 0.0000
Pb1 0.0000 0.0000 0.2329
S1 0.3333 0.6667 0.3606
O1 0.0000 0.0000 0.0554
```

Which of them is the most stable? Correct choice: version A.